(1)
{"formula": "BeCdInH6", "functional": "GGA-PBE", "state": "optimized geometry", "density_g_cm3": 4.3, "space_group": "P312, No. 149", "dft_energy_ev_per_atom": -2.76, "cell": [[4.670, 0.000, 0.000], [2.335, 4.045, 0.000], [0.000, 0.000, 4.903]], "species": ["H", "H", "H", "Be", "H", "H", "Cd", "H", "In"], "fractional_positions": [[0.317, 0.058, 0.709], [0.058, 0.625, 0.709], [0.058, 0.317, 0.291], [0.333, 0.333, 0.500], [0.625, 0.058, 0.291], [0.317, 0.625, 0.291], [0.667, 0.667, 0.500], [0.625, 0.317, 0.709], [0.000, 0.000, 0.000]]}



(2)
{"formula": "La2BeCdH", "functional": "GGA-PBE", "state": "optimized geometry", "density_g_cm3": 6.2, "space_group": "P4/mmm, No. 123", "dft_energy_ev_per_atom": -3.69, "cell": [[5.313, 0.000, 0.000], [0.000, 5.313, 0.000], [0.000, 0.000, 3.815]], "species": ["La", "La", "Cd", "Be", "H"], "fractional_positions": [[0.500, 0.000, 0.000], [0.000, 0.500, 0.000], [0.500, 0.500, 0.500], [0.000, 0.000, 0.500], [0.000, 0.000, 0.000]]}



(3)
{"formula": "BeCd2HO", "functional": "GGA-PBE", "state": "optimized geometry", "density_g_cm3": 4.0, "space_group": "P4/mmm, No. 123", "dft_energy_ev_per_atom": -2.99, "cell": [[6.073, 0.000, 0.000], [0.000, 2.842, 0.000], [0.000, 0.000, 6.073]], "species": ["O", "H", "Be", "Cd", "Cd"], "fractional_positions": [[0.000, 0.500, 0.000], [0.500, 0.500, 0.500], [0.000, 0.000, 0.000], [0.500, 0.000, 0.000], [0.000, 0.000, 0.500]]}



(4)
{"formula": "Rb2BeCdH", "functional": "GGA-PBE", "state": "optimized geometry", "density_g_cm3": 2.3, "space_group": "P4/mmm, No. 123", "dft_energy_ev_per_atom": -1.40, "cell": [[-3.243, -1.888, 5.639], [4.051, -0.302, 2.229], [-0.541, 6.490, 1.862]], "species": ["Rb", "Rb", "Be", "H", "Cd"], "fractional_positions": [[0.000, 0.000, 0.500], [0.500, 0.000, 0.000], [0.000, 0.500, 0.000], [0.500, 0.500, 0.500], [0.000, 0.000, 0.000]]}



(5)
{"formula": "BeCd2SbH", "functional": "GGA-PBE", "state": "optimized geometry", "density_g_cm3": 6.5, "space_group": "P4/mmm, No. 123", "dft_energy_ev_per_atom": -2.08, "cell": [[5.011, 0.000, 0.000], [0.000, 5.011, 0.000], [0.000, 0.000, 3.635]], "species": ["Be", "Cd", "Sb", "Cd", "H"], "fractional_positions": [[0.000, 0.000, 0.500], [0.500, 0.000, 0.000], [0.500, 0.500, 0.500], [0.000, 0.500, 0.000], [0.000, 0.000, 0.000]]}



(6)
{"formula": "BeCdH2Se", "functional": "GGA-PBE", "state": "optimized geometry", "density_g_cm3": 4.9, "space_group": "P4/mmm, No. 123", "dft_energy_ev_per_atom": -2.54, "cell": [[3.589, 0.000, 0.000], [0.000, 5.306, 0.000], [0.000, 0.000, 3.589]], "species": ["Se", "Be", "H", "H", "Cd"], "fractional_positions": [[0.000, 0.000, 0.000], [0.000, 0.500, 0.000], [0.000, 0.000, 0.500], [0.500, 0.000, 0.000], [0.500, 0.500, 0.500]]}



(7)
{"formula": "SrBeCdH6", "functional": "GGA-PBE", "state": "optimized geometry", "density_g_cm3": 3.5, "space_group": "P312, No. 149", "dft_energy_ev_per_atom": -2.96, "cell": [[-3.248, 2.036, 3.011], [-4.121, -2.361, 1.097], [2.278, -2.156, 3.916]], "species": ["H", "H", "H", "H", "H", "Be", "Cd", "Sr", "H"], "fractional_positions": [[0.052, 0.353, 0.298], [0.595, 0.052, 0.298], [0.052, 0.595, 0.702], [0.353, 0.595, 0.298], [0.595, 0.353, 0.702], [0.333, 0.333, 0.500], [0.667, 0.667, 0.500], [0.000, 0.000, 0.000], [0.353, 0.052, 0.702]]}



(8)
{"formula": "BeCdH2W", "functional": "GGA-PBE", "state": "optimized geometry", "density_g_cm3": 7.2, "space_group": "P4/mmm, No. 123", "dft_energy_ev_per_atom": -3.62, "cell": [[-2.679, 1.712, 1.217], [0.523, -2.953, 5.308], [2.080, 2.437, 1.151]], "species": ["W", "Cd", "H", "H", "Be"], "fractional_positions": [[0.500, 0.500, 0.500], [0.000, 0.000, 0.000], [0.500, 0.000, 0.000], [0.000, 0.000, 0.500], [0.000, 0.500, 0.000]]}



(9)
{"formula": "Zr2BeCdH", "functional": "GGA-PBE", "state": "optimized geometry", "density_g_cm3": 6.5, "space_group": "P4/mmm, No. 123", "dft_energy_ev_per_atom": -5.07, "cell": [[4.390, 0.000, 0.000], [0.000, 4.390, 0.000], [0.000, 0.000, 4.017]], "species": ["Be", "Zr", "Cd", "Zr", "H"], "fractional_positions": [[0.000, 0.000, 0.500], [0.500, 0.000, 0.000], [0.500, 0.500, 0.500], [0.000, 0.500, 0.000], [0.000, 0.000, 0.000]]}



(10)
{"formula": "HfBeCd", "functional": "GGA-PBE", "state": "optimized geometry", "density_g_cm3": 9.7, "delta_e_f_ev_per_atom": 0.01, "space_group": "C2/m, No. 12", "e_above_lowest_polymorph_ev_per_atom": 0.140, "cell": [[5.011, 0.000, 0.002], [0.000, 3.653, 0.000], [-2.379, 0.000, 11.234]], "species": ["Be", "Hf", "Be", "Hf", "Be", "Hf", "Cd", "Cd", "Cd", "Cd", "Hf", "Be"], "fractional_positions": [[0.631, 0.000, 0.768], [0.834, 0.500, 0.648], [0.369, 0.000, 0.232], [0.834, 0.000, 0.148], [0.631, 0.500, 0.268], [0.166, 0.000, 0.852], [0.715, 0.500, 0.923], [0.285, 0.500, 0.077], [0.715, 0.000, 0.423], [0.285, 0.000, 0.577], [0.166, 0.500, 0.352], [0.369, 0.500, 0.732]]}



(11)
{"formula": "HfBeCd", "functional": "GGA-PBE", "state": "optimized geometry", "density_g_cm3": 9.1, "delta_e_f_ev_per_atom": -0.02, "space_group": "P-3m1, No. 164", "e_above_lowest_polymorph_ev_per_atom": 0.110, "cell": [[10.785, -0.024, -0.031], [0.009, 3.417, -0.028], [0.005, -1.684, 2.972]], "species": ["Hf", "Be", "Hf", "Cd", "Cd", "Be"], "fractional_positions": [[0.290, 0.445, 0.877], [0.454, 0.778, 0.543], [0.622, 0.444, 0.877], [0.066, 0.112, 0.211], [0.847, 0.777, 0.543], [0.458, 0.111, 0.210]]}



(12)
{"formula": "Hf2BeCd", "functional": "GGA-PBE", "state": "optimized geometry", "density_g_cm3": 9.6, "delta_e_f_ev_per_atom": 0.76, "space_group": "I-42d, No. 122", "e_above_lowest_polymorph_ev_per_atom": 0.753, "cell": [[-0.538, -2.662, -2.972], [1.858, -2.821, 2.191], [-8.317, -5.485, 3.690]], "species": ["Be", "Be", "Cd", "Hf", "Hf", "Cd", "Hf", "Hf"], "fractional_positions": [[0.500, 0.500, 0.000], [0.250, 0.750, 0.500], [0.750, 0.250, 0.500], [0.375, 0.383, 0.750], [0.133, 0.625, 0.250], [0.000, 0.000, 0.000], [0.875, 0.867, 0.750], [0.617, 0.125, 0.250]]}